Entry 1:
Compound: Nd2GaRu
Source: the Alexandria database
Functional: PBE
Structure: optimized geometry

Lattice parameters (Å, degrees): 6.1807 3.8888 8.7521 90.00 109.99 90.00
Positions (direct):
Nd: 0.2017 0.2500 0.4135
Nd: 0.2734 0.7500 0.0543
Nd: 0.7266 0.2500 0.9457
Nd: 0.7983 0.7500 0.5865
Ga: 0.3438 0.7500 0.7158
Ga: 0.6562 0.2500 0.2842
Ru: 0.1124 0.2500 0.7871
Ru: 0.8876 0.7500 0.2129

## Properties
- SG: P2_1/m
- Formation enthalpy at 0 K: -163 kJ/mol of formula units
- Spin magnetization: 0.00 μB/atom

***

Entry 2:
Compound: NdGa3Ru
Source: the Alexandria database
Functional: PBE
Structure: optimized geometry

Lattice parameters (Å, degrees): 6.5426 6.5426 6.5426 90.00 90.00 90.00
Positions (direct):
Nd: 0.0000 0.0000 0.5000
Nd: 0.0000 0.5000 0.0000
Nd: 0.5000 0.0000 0.0000
Ga: 0.0000 0.0000 0.0000
Ga: 0.2938 0.2938 0.2938
Ga: 0.2938 0.2938 0.7062
Ga: 0.2938 0.7062 0.2938
Ga: 0.2938 0.7062 0.7062
Ga: 0.7062 0.2938 0.2938
Ga: 0.7062 0.2938 0.7062
Ga: 0.7062 0.7062 0.2938
Ga: 0.7062 0.7062 0.7062
Ru: 0.0000 0.5000 0.5000
Ru: 0.5000 0.0000 0.5000
Ru: 0.5000 0.5000 0.0000

## Properties
- SG: Pm-3m
- Energy above the most stable polymorph in this dataset: 0 meV per atom
- Formation enthalpy at 0 K: -266 kJ/mol of formula units
- Spin magnetization: 0.00 μB/atom

***

Entry 3:
Compound: NdGa3Ru3
Source: the Alexandria database
Functional: PBE
Structure: optimized geometry

Lattice parameters (Å, degrees): 8.3012 8.3012 8.3012 60.00 60.00 60.00
Positions (direct):
Nd: 0.2500 0.2500 0.2500
Nd: 0.7500 0.7500 0.7500
Ga: 0.1544 0.1544 0.8456
Ga: 0.1544 0.8456 0.1544
Ga: 0.1544 0.8456 0.8456
Ga: 0.8456 0.1544 0.1544
Ga: 0.8456 0.1544 0.8456
Ga: 0.8456 0.8456 0.1544
Ru: 0.3512 0.3512 0.6488
Ru: 0.3512 0.6488 0.3512
Ru: 0.3512 0.6488 0.6488
Ru: 0.6488 0.3512 0.3512
Ru: 0.6488 0.3512 0.6488
Ru: 0.6488 0.6488 0.3512

## Properties
- SG: Fm-3m
- Energy above the most stable polymorph in this dataset: 649 meV per atom
- Formation enthalpy at 0 K: 608 kJ/mol of formula units
- Spin magnetization: 0.29 μB/atom

***

Entry 4:
Compound: Nd3Ga3Ru2
Source: the Alexandria database
Functional: PBE
Structure: optimized geometry

Lattice parameters (Å, degrees): 7.7676 15.4405 5.9406 90.00 90.00 90.00
Positions (direct):
Nd: 0.0355 0.1064 0.1095
Nd: 0.0355 0.3936 0.1095
Nd: 0.1695 0.2500 0.6255
Nd: 0.3305 0.7500 0.1255
Nd: 0.4645 0.6064 0.6095
Nd: 0.4645 0.8936 0.6095
Nd: 0.5355 0.1064 0.3905
Nd: 0.5355 0.3936 0.3905
Nd: 0.6695 0.2500 0.8745
Nd: 0.8305 0.7500 0.3745
Nd: 0.9645 0.6064 0.8905
Nd: 0.9645 0.8936 0.8905
Ga: 0.1616 0.0370 0.5940
Ga: 0.1616 0.4630 0.5940
Ga: 0.1745 0.7500 0.6134
Ga: 0.3255 0.2500 0.1134
Ga: 0.3384 0.5370 0.0940
Ga: 0.3384 0.9630 0.0940
Ga: 0.6616 0.0370 0.9060
Ga: 0.6616 0.4630 0.9060
Ga: 0.6745 0.7500 0.8866
Ga: 0.8255 0.2500 0.3866
Ga: 0.8384 0.5370 0.4060
Ga: 0.8384 0.9630 0.4060
Ru: 0.1352 0.6062 0.3710
Ru: 0.1352 0.8938 0.3710
Ru: 0.3648 0.1062 0.8710
Ru: 0.3648 0.3938 0.8710
Ru: 0.6352 0.6062 0.1290
Ru: 0.6352 0.8938 0.1290
Ru: 0.8648 0.1062 0.6290
Ru: 0.8648 0.3938 0.6290

## Properties
- SG: Pnma
- Formation enthalpy at 0 K: -392 kJ/mol of formula units
- Spin magnetization: 0.00 μB/atom

***

| no. | DFT total energy (eV/cell) |
| --- | --- |
| 1 | -47.05 |
| 2 | -77.64 |
| 3 | -70.75 |
| 4 | -184.00 |